Record 1
{
  "formula": "InTeBr",
  "functional": "GGA-PBEsol",
  "state": "optimized geometry",
  "lattice": [[4.147, 0.000, 0.000], [-2.073, 3.591, 0.000], [0.000, 0.000, 6.400]],
  "species": ["In", "Te", "Br"],
  "frac_coords": [[0.000, 0.000, 0.000], [0.667, 0.333, 0.768], [0.333, 0.667, 0.276]],
  "crystal_system": "trigonal",
  "e_form_raw_ev_per_fu": -1.34,
  "spacegroup": "P3m1, No. 156"
}

---

Record 2
{
  "formula": "AsPb3",
  "functional": "GGA-PBEsol",
  "state": "optimized geometry",
  "lattice": [[-1.954, 2.599, 5.359], [1.954, -2.599, 5.359], [1.954, 2.599, -5.359]],
  "species": ["As", "Pb", "Pb", "Pb"],
  "frac_coords": [[0.000, 0.000, 0.000], [0.213, 0.713, 0.500], [0.500, 0.500, 0.000], [0.787, 0.287, 0.500]],
  "crystal_system": "orthorhombic",
  "spacegroup": "Immm, No. 71",
  "delta_e_f_ev_per_atom": 0.052,
  "e_above_lowest_polymorph_mev_per_atom": 8.8
}

---

Record 3
{
  "formula": "SrIr2Pb",
  "functional": "GGA-PBEsol",
  "state": "optimized geometry",
  "lattice": [[3.257, 0.000, 0.000], [0.000, 3.257, 0.000], [0.000, 0.000, 7.606]],
  "species": ["Sr", "Ir", "Ir", "Pb"],
  "frac_coords": [[0.000, 0.000, 0.000], [0.500, 0.500, 0.289], [0.500, 0.500, 0.711], [0.000, 0.000, 0.500]],
  "crystal_system": "tetragonal",
  "spacegroup": "P4/mmm, No. 123",
  "delta_e_f_ev_per_atom": 0.352
}

---

Record 4
{
  "formula": "CuP2SeCl",
  "functional": "GGA-PBEsol",
  "state": "optimized geometry",
  "lattice": [[4.750, 0.000, 0.000], [0.000, 4.750, 0.000], [0.000, 0.000, 4.831]],
  "species": ["Cu", "P", "P", "Se", "Cl"],
  "frac_coords": [[0.000, 0.000, 0.000], [0.000, 0.500, 0.500], [0.500, 0.000, 0.500], [0.500, 0.500, 0.500], [0.500, 0.500, 0.000]],
  "crystal_system": "tetragonal",
  "e_form_raw_ev_per_fu": 5.77,
  "spacegroup": "P4/mmm, No. 123"
}

---

Record 5
{
  "formula": "Al2TeBr",
  "functional": "GGA-PBEsol",
  "state": "optimized geometry",
  "lattice": [[0.000, 3.574, 3.574], [3.574, 0.000, 3.574], [3.574, 3.574, 0.000]],
  "species": ["Al", "Al", "Te", "Br"],
  "frac_coords": [[0.000, 0.000, 0.000], [0.250, 0.250, 0.250], [0.750, 0.750, 0.750], [0.500, 0.500, 0.500]],
  "crystal_system": "cubic",
  "e_form_raw_ev_per_fu": 0.87,
  "spacegroup": "F-43m, No. 216",
  "e_above_lowest_polymorph_mev_per_atom": 348.4
}

---

Record 6
{
  "formula": "ZnCoP2",
  "functional": "GGA-PBEsol",
  "state": "optimized geometry",
  "lattice": [[2.792, 0.000, 0.000], [0.000, 2.792, 0.000], [0.000, 0.000, 7.132]],
  "species": ["Zn", "Co", "P", "P"],
  "frac_coords": [[0.000, 0.000, 0.000], [0.500, 0.500, 0.467], [0.000, 0.000, 0.324], [0.500, 0.500, 0.774]],
  "crystal_system": "tetragonal",
  "spacegroup": "P4mm, No. 99",
  "delta_e_f_ev_per_atom": -0.099
}